Record 1
## KU2BeO8 (PBE-GGA)

Data for an optimized crystal structure of KU2BeO8.

Properties
As for the space group: No. 12. Its crystal system is monoclinic. The total magnetic moment comes out at 0.0 μB/f.u. As for the energy: -96.4 eV per cell. As for the formation energy (no corrections): -2.445 eV/atom.

a b c (Å): 5.1141 5.1141 6.9467
angles (deg): 91.65 91.65 77.18
With the nearest neighbours (Å) after each atom.
Element x y z (fractional)
K1 0.0000 0.0000 0.0000  6 O 2.50-2.76
U1 0.4982 0.4982 0.7406  5 O 2.01-2.19
U2 0.5018 0.5018 0.2594  5 O 2.01-2.19
Be1 0.0000 0.0000 0.5000  4 O 1.77
O1 0.1849 0.8041 0.3150  1 Be 1.77
O2 0.1959 0.8151 0.6850  1 Be 1.77
O3 0.3391 0.3391 0.5070  2 U 2.02-2.19
O4 0.3452 0.3452 0.0139  2 U 2.08-2.30
O5 0.6548 0.6548 0.9861  2 U 2.08-2.30
O6 0.6609 0.6609 0.4930  2 U 2.02-2.19
O7 0.8041 0.1849 0.3150  1 Be 1.77
O8 0.8151 0.1959 0.6850  1 Be 1.77


Record 2
## Rb3Al2PbO6 (PBE-GGA)

Data for an optimized crystal structure of Rb3Al2PbO6.

Properties
As for the space group: No. 164. Its crystal system is trigonal. The total magnetic moment comes out at 0.0 μB/f.u. As for the energy: -65.1 eV per cell. As for the formation energy (no corrections): -1.768 eV/atom.

a b c (Å): 6.1575 6.1575 7.4714
angles (deg): 90.00 90.00 120.00
With the nearest neighbours (Å) after each atom.
Element x y z (fractional)
Rb1 0.0000 0.0000 0.0000  6 O 2.89
Rb2 0.3333 0.6667 0.7514  6 O 3.10, 1 Al 3.34
Rb3 0.6667 0.3333 0.2486  6 O 3.10, 1 Al 3.34
Al1 0.3333 0.6667 0.3039  3 O 1.71
Al2 0.6667 0.3333 0.6961  3 O 1.71
Pb1 0.0000 0.0000 0.5000  6 O 2.38
O1 0.1726 0.3452 0.2984  1 Al 1.71
O2 0.1726 0.8274 0.2984  1 Al 1.71
O3 0.3452 0.1726 0.7016  1 Al 1.71
O4 0.6548 0.8274 0.2984  1 Al 1.71
O5 0.8274 0.1726 0.7016  1 Al 1.71
O6 0.8274 0.6548 0.7016  1 Al 1.71


Record 3
## RbTcI3 (PBE-GGA)

Data for an optimized crystal structure of RbTcI3.

Properties
As for the space group: No. 221. Its crystal system is cubic. Its energy above the most stable polymorph in this dataset is 64.2 meV per atom. The total magnetic moment comes out at 3.5 μB/f.u. As for the energy: -17.6 eV per cell. As for the formation energy (no corrections): -0.320 eV/atom.

a b c (Å): 5.7336 5.7336 5.7336
angles (deg): 90.00 90.00 90.00
With the nearest neighbours (Å) after each atom.
Element x y z (fractional)
Rb1 0.0000 0.0000 0.0000  12 I 4.05
Tc1 0.5000 0.5000 0.5000  6 I 2.87
I1 0.0000 0.5000 0.5000  2 Tc 2.87
I2 0.5000 0.0000 0.5000  2 Tc 2.87
I3 0.5000 0.5000 0.0000  2 Tc 2.87


Record 4
## Ba6Pd2AuBr3 (PBE-GGA)

Data for an optimized crystal structure of Ba6Pd2AuBr3.

Properties
As for the space group: No. 12. Its crystal system is monoclinic. The total magnetic moment comes out at 0.0 μB/f.u. As for the energy: -44.0 eV per cell. As for the formation energy (no corrections): -1.147 eV/atom.

a b c (Å): 8.0016 8.0016 8.8487
angles (deg): 98.67 98.67 120.01
With the nearest neighbours (Å) after each atom.
Element x y z (fractional)
Ba1 0.0855 0.4276 0.7826  2 Pd 3.21, 1 Au 3.29, 1 Br 3.52
Ba2 0.2307 0.2307 0.2180  2 Pd 3.21, 1 Au 3.30, 1 Br 3.52
Ba3 0.4276 0.0855 0.7826  2 Pd 3.21, 1 Au 3.29, 1 Br 3.52
Ba4 0.5724 0.9145 0.2174  2 Pd 3.21, 1 Au 3.29, 1 Br 3.52
Ba5 0.7693 0.7693 0.7820  2 Pd 3.21, 1 Au 3.30, 1 Br 3.52
Ba6 0.9145 0.5724 0.2174  2 Pd 3.21, 1 Au 3.29, 1 Br 3.52
Pd1 0.1664 0.8336 0.0000  6 Ba 3.21
Pd2 0.8336 0.1664 0.0000  6 Ba 3.21
Au1 0.5000 0.5000 0.0000  6 Ba 3.29-3.30
Br1 0.0000 0.0000 0.5000  6 Ba 3.52-3.60
Br2 0.3330 0.6670 0.5000  6 Ba 3.52-3.60
Br3 0.6670 0.3330 0.5000  6 Ba 3.52-3.60


Record 5
## PmNdOsRh (PBE-GGA)

Data for an optimized crystal structure of PmNdOsRh.

Properties
As for the space group: No. 216. Its crystal system is cubic. The total magnetic moment comes out at 0.0 μB/f.u. The formation energy is -21.8 kJ per mole of atoms. As for the energy: -116.0 eV per cell.

a b c (Å): 7.0404 7.0404 7.0404
angles (deg): 90.00 90.00 90.00
With the nearest neighbours (Å) after each atom.
Element x y z (fractional)
Pm1 0.0000 0.0000 0.0000  4 Os 3.05, 4 Rh 3.05
Pm2 0.0000 0.5000 0.5000  4 Os 3.05, 4 Rh 3.05
Pm3 0.5000 0.0000 0.5000  4 Os 3.05, 4 Rh 3.05
Pm4 0.5000 0.5000 0.0000  4 Os 3.05, 4 Rh 3.05
Nd1 0.0000 0.0000 0.5000  4 Os 3.05, 4 Rh 3.05
Nd2 0.0000 0.5000 0.0000  4 Os 3.05, 4 Rh 3.05
Nd3 0.5000 0.0000 0.0000  4 Os 3.05, 4 Rh 3.05
Nd4 0.5000 0.5000 0.5000  4 Os 3.05, 4 Rh 3.05
Os1 0.2500 0.2500 0.7500  4 Nd 3.05, 4 Pm 3.05
Os2 0.2500 0.7500 0.2500  4 Nd 3.05, 4 Pm 3.05
Os3 0.7500 0.2500 0.2500  4 Nd 3.05, 4 Pm 3.05
Os4 0.7500 0.7500 0.7500  4 Nd 3.05, 4 Pm 3.05
Rh1 0.2500 0.2500 0.2500  4 Nd 3.05, 4 Pm 3.05
Rh2 0.2500 0.7500 0.7500  4 Nd 3.05, 4 Pm 3.05
Rh3 0.7500 0.2500 0.7500  4 Nd 3.05, 4 Pm 3.05
Rh4 0.7500 0.7500 0.2500  4 Nd 3.05, 4 Pm 3.05


Record 6
## Dy3Tm5Pb12 (PBE-GGA)

Data for an optimized crystal structure of Dy3Tm5Pb12.

Properties
As for the space group: No. 230. Its crystal system is cubic. The total magnetic moment comes out at 0.0 μB/f.u. The formation energy is 10.6 kJ per mole of atoms. As for the energy: -313.8 eV per cell.

a b c (Å): 15.6342 15.6342 15.6342
angles (deg): 109.47 109.47 109.47
With the nearest neighbours (Å) after each atom.
Element x y z (fractional)
Dy1 0.1250 0.2500 0.3750  8 Pb 3.13-3.29
Dy2 0.1250 0.3750 0.7500  8 Pb 3.13-3.29
Dy3 0.2500 0.3750 0.1250  8 Pb 3.13-3.29
Dy4 0.2500 0.8750 0.6250  8 Pb 3.13-3.29
Dy5 0.3750 0.1250 0.2500  8 Pb 3.13-3.29
Dy6 0.3750 0.7500 0.1250  8 Pb 3.13-3.29
Dy7 0.6250 0.2500 0.8750  8 Pb 3.13-3.29
Dy8 0.6250 0.8750 0.7500  8 Pb 3.13-3.29
Dy9 0.7500 0.1250 0.3750  8 Pb 3.13-3.29
Dy10 0.7500 0.6250 0.8750  8 Pb 3.13-3.29
Dy11 0.8750 0.6250 0.2500  8 Pb 3.13-3.29
Dy12 0.8750 0.7500 0.6250  8 Pb 3.13-3.29
Tm1 0.0000 0.0000 0.0000  6 Pb 3.14
Tm2 0.0000 0.0000 0.5000  6 Pb 3.14
Tm3 0.0000 0.5000 0.0000  6 Pb 3.14
Tm4 0.0000 0.5000 0.5000  6 Pb 3.14
Tm5 0.1250 0.7500 0.8750  4 Pb 3.07
Tm6 0.1250 0.8750 0.2500  4 Pb 3.07
Tm7 0.2500 0.1250 0.8750  4 Pb 3.07
Tm8 0.2500 0.6250 0.3750  4 Pb 3.07
Tm9 0.3750 0.2500 0.6250  4 Pb 3.07
Tm10 0.3750 0.6250 0.7500  4 Pb 3.07
Tm11 0.5000 0.0000 0.0000  6 Pb 3.14
Tm12 0.5000 0.0000 0.5000  6 Pb 3.14
Tm13 0.5000 0.5000 0.0000  6 Pb 3.14
Tm14 0.5000 0.5000 0.5000  6 Pb 3.14
Tm15 0.6250 0.3750 0.2500  4 Pb 3.07
Tm16 0.6250 0.7500 0.3750  4 Pb 3.07
Tm17 0.7500 0.3750 0.6250  4 Pb 3.07
Tm18 0.7500 0.8750 0.1250  4 Pb 3.07
Tm19 0.8750 0.1250 0.7500  4 Pb 3.07
Tm20 0.8750 0.2500 0.1250  4 Pb 3.07
Pb1 0.0704 0.2339 0.1459  2 Tm 3.07-3.14, 1 Pb 3.13, 2 Dy 3.13-3.29
Pb2 0.0704 0.3365 0.9245  2 Tm 3.07-3.14, 1 Pb 3.13, 2 Dy 3.13-3.29
Pb3 0.0755 0.6459 0.4120  2 Tm 3.07-3.14, 1 Pb 3.13, 2 Dy 3.13-3.29
Pb4 0.0755 0.9296 0.6635  2 Tm 3.07-3.14, 1 Pb 3.13, 2 Dy 3.13-3.29
Pb5 0.0880 0.7339 0.6635  2 Tm 3.07-3.14, 1 Pb 3.13, 2 Dy 3.13-3.29
Pb6 0.0880 0.8541 0.4245  2 Tm 3.07-3.14, 1 Pb 3.13, 2 Dy 3.13-3.29
Pb7 0.1459 0.0704 0.2339  2 Tm 3.07-3.14, 1 Pb 3.13, 2 Dy 3.13-3.29
Pb8 0.1459 0.5755 0.9120  2 Tm 3.07-3.14, 1 Pb 3.13, 2 Dy 3.13-3.29
Pb9 0.1635 0.2339 0.5880  2 Tm 3.07-3.14, 1 Pb 3.13, 2 Dy 3.13-3.29
Pb10 0.1635 0.4296 0.5755  2 Tm 3.07-3.14, 1 Pb 3.13, 2 Dy 3.13-3.29
Pb11 0.2339 0.1459 0.0704  2 Tm 3.07-3.14, 1 Pb 3.13, 2 Dy 3.13-3.29
Pb12 0.2339 0.5880 0.1635  2 Tm 3.07-3.14, 1 Pb 3.13, 2 Dy 3.13-3.29
Pb13 0.2661 0.3365 0.9120  2 Tm 3.07-3.14, 1 Pb 3.13, 2 Dy 3.13-3.29
Pb14 0.2661 0.4296 0.3541  2 Tm 3.07-3.14, 1 Pb 3.13, 2 Dy 3.13-3.29
Pb15 0.3365 0.9120 0.2661  2 Tm 3.07-3.14, 1 Pb 3.13, 2 Dy 3.13-3.29
Pb16 0.3365 0.9245 0.0704  2 Tm 3.07-3.14, 1 Pb 3.13, 2 Dy 3.13-3.29
Pb17 0.3541 0.2661 0.4296  2 Tm 3.07-3.14, 1 Pb 3.13, 2 Dy 3.13-3.29
Pb18 0.3541 0.5880 0.9245  2 Tm 3.07-3.14, 1 Pb 3.13, 2 Dy 3.13-3.29
Pb19 0.4120 0.0755 0.6459  2 Tm 3.07-3.14, 1 Pb 3.13, 2 Dy 3.13-3.29
Pb20 0.4120 0.8365 0.7661  2 Tm 3.07-3.14, 1 Pb 3.13, 2 Dy 3.13-3.29
Pb21 0.4245 0.0880 0.8541  2 Tm 3.07-3.14, 1 Pb 3.13, 2 Dy 3.13-3.29
Pb22 0.4245 0.8365 0.5704  2 Tm 3.07-3.14, 1 Pb 3.13, 2 Dy 3.13-3.29
Pb23 0.4296 0.3541 0.2661  2 Tm 3.07-3.14, 1 Pb 3.13, 2 Dy 3.13-3.29
Pb24 0.4296 0.5755 0.1635  2 Tm 3.07-3.14, 1 Pb 3.13, 2 Dy 3.13-3.29
Pb25 0.5704 0.4245 0.8365  2 Tm 3.07-3.14, 1 Pb 3.13, 2 Dy 3.13-3.29
Pb26 0.5704 0.6459 0.7339  2 Tm 3.07-3.14, 1 Pb 3.13, 2 Dy 3.13-3.29
Pb27 0.5755 0.1635 0.4296  2 Tm 3.07-3.14, 1 Pb 3.13, 2 Dy 3.13-3.29
Pb28 0.5755 0.9120 0.1459  2 Tm 3.07-3.14, 1 Pb 3.13, 2 Dy 3.13-3.29
Pb29 0.5880 0.1635 0.2339  2 Tm 3.07-3.14, 1 Pb 3.13, 2 Dy 3.13-3.29
Pb30 0.5880 0.9245 0.3541  2 Tm 3.07-3.14, 1 Pb 3.13, 2 Dy 3.13-3.29
Pb31 0.6459 0.4120 0.0755  2 Tm 3.07-3.14, 1 Pb 3.13, 2 Dy 3.13-3.29
Pb32 0.6459 0.7339 0.5704  2 Tm 3.07-3.14, 1 Pb 3.13, 2 Dy 3.13-3.29
Pb33 0.6635 0.0755 0.9296  2 Tm 3.07-3.14, 1 Pb 3.13, 2 Dy 3.13-3.29
Pb34 0.6635 0.0880 0.7339  2 Tm 3.07-3.14, 1 Pb 3.13, 2 Dy 3.13-3.29
Pb35 0.7339 0.5704 0.6459  2 Tm 3.07-3.14, 1 Pb 3.13, 2 Dy 3.13-3.29
Pb36 0.7339 0.6635 0.0880  2 Tm 3.07-3.14, 1 Pb 3.13, 2 Dy 3.13-3.29
Pb37 0.7661 0.4120 0.8365  2 Tm 3.07-3.14, 1 Pb 3.13, 2 Dy 3.13-3.29
Pb38 0.7661 0.8541 0.9296  2 Tm 3.07-3.14, 1 Pb 3.13, 2 Dy 3.13-3.29
Pb39 0.8365 0.5704 0.4245  2 Tm 3.07-3.14, 1 Pb 3.13, 2 Dy 3.13-3.29
Pb40 0.8365 0.7661 0.4120  2 Tm 3.07-3.14, 1 Pb 3.13, 2 Dy 3.13-3.29
Pb41 0.8541 0.4245 0.0880  2 Tm 3.07-3.14, 1 Pb 3.13, 2 Dy 3.13-3.29
Pb42 0.8541 0.9296 0.7661  2 Tm 3.07-3.14, 1 Pb 3.13, 2 Dy 3.13-3.29
Pb43 0.9120 0.1459 0.5755  2 Tm 3.07-3.14, 1 Pb 3.13, 2 Dy 3.13-3.29
Pb44 0.9120 0.2661 0.3365  2 Tm 3.07-3.14, 1 Pb 3.13, 2 Dy 3.13-3.29
Pb45 0.9245 0.0704 0.3365  2 Tm 3.07-3.14, 1 Pb 3.13, 2 Dy 3.13-3.29
Pb46 0.9245 0.3541 0.5880  2 Tm 3.07-3.14, 1 Pb 3.13, 2 Dy 3.13-3.29
Pb47 0.9296 0.6635 0.0755  2 Tm 3.07-3.14, 1 Pb 3.13, 2 Dy 3.13-3.29
Pb48 0.9296 0.7661 0.8541  2 Tm 3.07-3.14, 1 Pb 3.13, 2 Dy 3.13-3.29


Record 7
## Gd2PuAl (PBE-GGA)

Data for an optimized crystal structure of Gd2PuAl.

Properties
As for the space group: No. 123. Its crystal system is tetragonal. Its energy above the most stable polymorph in this dataset is 0.0 meV per atom. The total magnetic moment comes out at 8.5 μB/f.u. The formation energy is -6.4 kJ per mole of atoms. As for the energy: -46.5 eV per cell.

a b c (Å): 4.7668 4.7668 4.5604
angles (deg): 90.00 90.00 90.00
With the nearest neighbours (Å) after each atom.
Element x y z (fractional)
Gd1 0.0000 0.5000 0.0000  4 Al 3.30, 4 Pu 3.30, 4 Gd 3.37
Gd2 0.5000 0.0000 0.0000  4 Al 3.30, 4 Pu 3.30, 4 Gd 3.37
Pu1 0.0000 0.0000 0.5000  8 Gd 3.30, 4 Al 3.37
Al1 0.5000 0.5000 0.5000  8 Gd 3.30, 4 Pu 3.37


Record 8
## U4Sb3N4 (PBE-GGA)

Data for an optimized crystal structure of U4Sb3N4.

Properties
As for the space group: No. 38. Its crystal system is orthorhombic. The total magnetic moment comes out at 6.5 μB/f.u. As for the energy: -102.0 eV per cell. As for the formation energy (no corrections): -1.020 eV/atom.

a b c (Å): 8.2828 6.9133 6.9133
angles (deg): 33.00 90.00 90.00
With the nearest neighbours (Å) after each atom.
Element x y z (fractional)
U1 0.0000 0.0000 0.0000  4 N 2.22-2.36
U2 0.2396 0.6702 0.6702  4 N 2.25-2.32
U3 0.5000 0.0180 0.0180  4 N 2.28-2.29
U4 0.7604 0.6702 0.6702  4 N 2.25-2.32
Sb1 0.0000 0.2997 0.2997  2 Sb 2.81
Sb2 0.3243 0.3621 0.3621  2 Sb 2.81-2.91
Sb3 0.6757 0.3621 0.3621  2 Sb 2.81-2.91
N1 0.0000 0.5788 0.5788  4 U 2.22-2.32
N2 0.2482 0.0880 0.0880  4 U 2.25-2.36
N3 0.5000 0.6073 0.6073  4 U 2.29-2.31
N4 0.7518 0.0880 0.0880  4 U 2.25-2.36


Record 9
## K2PaTe3 (PBE-GGA)

Data for an optimized crystal structure of K2PaTe3.

Properties
As for the space group: No. 12. Its crystal system is monoclinic. Its energy above the most stable polymorph in this dataset is 0.0 meV per atom. The total magnetic moment comes out at 1.0 μB/f.u. As for the energy: -54.6 eV per cell. As for the formation energy (no corrections): -1.033 eV/atom.

a b c (Å): 8.0977 8.0977 8.6693
angles (deg): 99.09 99.09 120.04
With the nearest neighbours (Å) after each atom.
Element x y z (fractional)
K1 0.0000 0.0000 0.0000  6 Te 3.45-3.47
K2 0.1553 0.8447 0.5000  6 Te 3.46-3.72
K3 0.5000 0.5000 0.5000  6 Te 3.40-3.69
K4 0.8447 0.1553 0.5000  6 Te 3.46-3.72
Pa1 0.3321 0.6679 0.0000  6 Te 3.11-3.12
Pa2 0.6679 0.3321 0.0000  6 Te 3.11-3.12
Te1 0.0731 0.4421 0.2150  2 Pa 3.11, 2 K 3.46-3.47
Te2 0.2959 0.2959 0.7880  2 Pa 3.12, 2 K 3.40-3.45
Te3 0.4421 0.0731 0.2150  2 Pa 3.11, 2 K 3.46-3.47
Te4 0.5579 0.9269 0.7850  2 Pa 3.11, 2 K 3.46-3.47
Te5 0.7041 0.7041 0.2120  2 Pa 3.12, 2 K 3.40-3.45
Te6 0.9269 0.5579 0.7850  2 Pa 3.11, 2 K 3.46-3.47


Record 10
## HfScAu (PBE-GGA)

Data for an optimized crystal structure of HfScAu.

Properties
As for the space group: No. 1. Its crystal system is triclinic. Its energy above the most stable polymorph in this dataset is 122.9 meV per atom. The total magnetic moment comes out at 0.0 μB/f.u. The formation energy is -34.3 kJ per mole of atoms. As for the energy: -41.3 eV per cell.

a b c (Å): 5.2832 5.2929 5.4075
angles (deg): 102.85 103.07 116.48
With the nearest neighbours (Å) after each atom.
Element x y z (fractional)
Hf1 0.0000 0.0000 0.0000  3 Au 2.85-2.87, 2 Sc 3.01-3.02, 3 Hf 3.10-3.14
Hf2 0.3491 0.6512 0.0009  2 Sc 2.91, 5 Au 2.96-3.16, 3 Hf 3.10-3.14
Sc1 0.2276 0.7717 0.5003  2 Hf 2.91, 5 Au 2.97-3.16, 3 Sc 3.11
Sc2 0.5738 0.4262 0.5019  4 Au 2.87-3.22, 2 Hf 3.01-3.02, 3 Sc 3.11
Au1 0.6820 0.3167 0.0012  4 Hf 2.85-3.16, 4 Sc 2.87-2.97
Au2 0.8935 0.1071 0.5004  4 Hf 2.87-2.97, 4 Sc 2.87-3.16